[1]
Sr2ZrInS: relaxed, PBE.

## Properties
Total energy   -3.144 eV per atom

Cell lengths 6.192, 6.192, 5.400 Å; angles 90.00, 90.00, 90.00 degrees
Space group P4/mmm (No. 123)
Asymmetric unit:
1 Sr 0.000 0.500 0.000 [2 per cell]
2 Zr 0.000 0.000 0.000 [1 per cell]
3 In 0.000 0.000 0.500 [1 per cell]
4 S 0.500 0.500 0.500 [1 per cell]

=====

[2]
MnTcP3: relaxed, PBE.

## Properties
Energy above the lowest structure with this stoichiometry   0 meV/atom

Cell lengths 4.344, 4.344, 4.344 Å; angles 90.00, 90.00, 90.00 degrees
Space group Pm-3m (No. 221)
Asymmetric unit:
1 Mn 0.000 0.000 0.000 [1 per cell]
2 Tc 0.500 0.500 0.500 [1 per cell]
3 P 0.000 0.000 0.500 [3 per cell]

=====

[3]
Dy4Zn2Ag: relaxed, PBE.

## Properties
Total energy   -3.573 eV per atom

Cell lengths 5.0345, 5.0345, 24.3365 Å; angles 90.00, 90.00, 120.00 degrees
Space group R-3m (No. 166, hexagonal axes)
Asymmetric unit:
1 Dy 0.0000 0.0000 0.1201 [6 per cell]
2 Dy 0.0000 0.0000 0.3712 [6 per cell]
3 Zn 0.0000 0.0000 0.2492 [6 per cell]
4 Ag 0.0000 0.0000 0.5000 [3 per cell]

=====

[4]
AcNpIr2: relaxed, PBE.

## Properties
Energy above the lowest structure with this stoichiometry   0 meV/atom

Cell lengths 4.4908, 4.4908, 16.9795 Å; angles 90.00, 90.00, 120.00 degrees
Space group R-3m (No. 166, hexagonal axes)
Asymmetric unit:
1 Ac 0.0000 0.0000 0.0000 [3 per cell]
2 Np 0.0000 0.0000 0.5000 [3 per cell]
3 Ir 0.0000 0.0000 0.2130 [6 per cell]

=====

[5]
SnHgPd2: relaxed, PBE.

## Properties
Energy above the lowest structure with this stoichiometry   193 meV/atom

Cell lengths 7.415, 7.415, 5.860 Å; angles 90.00, 90.00, 90.00 degrees
Space group I-42d (No. 122)
Asymmetric unit:
1 Sn 0.000 0.000 0.000 [4 per cell]
2 Hg 0.000 0.000 0.500 [4 per cell]
3 Pd 0.236 0.250 0.125 [8 per cell]

=====

[6]
ThNbS2: relaxed, PBE.

## Properties
Total energy   -7.207 eV per atom

Cell lengths 3.3802, 3.3802, 26.8676 Å; angles 90.00, 90.00, 120.00 degrees
Space group R-3m (No. 166, hexagonal axes)
Asymmetric unit:
1 Th 0.0000 0.0000 0.0000 [3 per cell]
2 Nb 0.0000 0.0000 0.5000 [3 per cell]
3 S 0.0000 0.0000 0.1072 [6 per cell]